5
Lattice="5.015 0.000 0.000 0.000 5.015 0.000 0.000 0.000 5.015" Properties=species:S:1:pos:R:3 comment="TiAl4, optimized geometry, DFT PBE" e_tot_ev_per_atom=-3.692 dos_ef_per_ev_atom=0.867 magmom_total_mub_per_cell=2.2 e_form_kj_per_mol_fu=425 pbc="T T T"
Al 0.000 2.508 2.508
Al 2.508 2.508 0.000
Ti 2.508 2.508 2.508
Al 2.508 0.000 2.508
Al 0.000 0.000 0.000

---

3
Lattice="-1.642 -2.016 2.201 2.504 0.438 2.269 -4.049 6.825 0.594" Properties=species:S:1:pos:R:3 comment="PrErZr, optimized geometry, DFT PBE" e_tot_ev_per_atom=-5.857 dos_ef_per_ev_atom=1.504 magmom_total_mub_per_cell=0.0 e_form_kj_per_mol_fu=31 pbc="T T T"
Pr -3.126 5.144 5.017
Er -0.876 1.391 3.257
Zr -2.372 3.957 1.855

---

10
Lattice="6.898 0.000 0.000 3.449 5.974 0.000 3.449 1.992 6.139" Properties=species:S:1:pos:R:3 comment="PmErTm2S6, optimized geometry, DFT PBE" e_tot_ev_per_atom=-6.353 dos_ef_per_ev_atom=0.000 magmom_total_mub_per_cell=0.0 formation_energy_uncorrected_ev_per_atom=-2.0514 pbc="T T T"
Er 3.449 1.991 0.319
S 5.552 5.942 1.513
S 9.268 4.170 1.513
Pm 10.347 5.975 3.489
S 7.808 5.810 4.597
S 5.875 1.838 1.513
Tm 6.898 3.983 2.762
S 8.025 2.282 4.597
S 4.861 3.858 4.597
Tm 3.449 1.992 5.890

---

5
Lattice="5.107 0.000 0.000 0.000 5.107 0.000 0.000 0.000 5.279" Properties=species:S:1:pos:R:3 comment="NaMg2TlPt, optimized geometry, DFT PBE" e_tot_ev_per_atom=-2.824 dos_ef_per_ev_atom=0.446 magmom_total_mub_per_cell=0.0 e_form_kj_per_mol_fu=-116 pbc="T T T"
Mg 2.554 0.000 0.000
Tl 0.000 0.000 2.640
Na 2.554 2.554 2.640
Pt 0.000 0.000 0.000
Mg 0.000 2.554 0.000

---

4
Lattice="-3.449 -0.757 2.644 -3.179 -2.783 -1.265 -0.432 -3.910 1.997" Properties=species:S:1:pos:R:3 comment="GaMo2Os, optimized geometry, DFT PBE" e_tot_ev_per_atom=-8.904 dos_ef_per_ev_atom=0.767 magmom_total_mub_per_cell=0.0 e_form_kj_per_mol_fu=29 pbc="T T T"
Os -5.295 -5.588 2.531
Ga -3.530 -3.725 1.688
Mo -0.432 -3.910 1.997
Mo -1.765 -1.863 0.844

---

12
Lattice="5.070 0.033 2.315 -0.206 5.066 2.315 0.794 0.832 9.581" Properties=species:S:1:pos:R:3 comment="RuO2F3, optimized geometry, DFT PBE" e_tot_ev_per_atom=-5.282 dos_ef_per_ev_atom=0.057 magmom_total_mub_per_cell=2.0 formation_energy_uncorrected_ev_per_atom=-1.1472 pbc="T T T"
F 1.615 3.727 4.710
O 2.974 1.197 3.557
O 4.206 2.488 5.863
F 1.785 2.293 10.665
O 1.452 3.444 8.347
F 3.849 4.457 8.335
F 4.043 2.205 9.500
F 1.809 1.475 5.875
F 3.874 3.639 3.545
Ru 2.691 3.495 9.500
O 2.684 4.735 10.653
Ru 2.967 2.437 4.710

---

12
Lattice="-1.869 6.199 -0.853 -2.209 -4.658 -4.009 -8.122 -1.581 6.311" Properties=species:S:1:pos:R:3 comment="Na2AgBi3, optimized geometry, DFT PBE" e_tot_ev_per_atom=-2.817 dos_ef_per_ev_atom=0.439 magmom_total_mub_per_cell=0.0 e_form_kj_per_mol_fu=22 pbc="T T T"
Na -4.061 -0.790 3.155
Bi -5.120 -0.160 -2.312
Na 0.000 0.000 0.000
Bi -9.097 0.883 1.355
Ag -2.248 -1.069 -2.839
Na -6.664 -1.928 0.592
Bi -3.102 -0.923 0.094
Ag -9.951 1.029 4.287
Na -5.536 1.888 0.856
Bi -7.080 0.121 3.760
Bi -4.195 -3.227 -1.890
Bi -8.004 3.188 3.338

---

13
Lattice="-3.380 -0.812 4.279 -3.923 -6.444 -0.771 3.043 -3.661 5.260" Properties=species:S:1:pos:R:3 comment="NaGa10Ag2, optimized geometry, DFT PBE" e_tot_ev_per_atom=-2.875 dos_ef_per_ev_atom=0.309 magmom_total_mub_per_cell=0.0 e_form_kj_per_mol_fu=-8 pbc="T T T"
Ga -0.168 -2.236 4.770
Ga -2.828 -5.476 7.381
Ga -3.104 -8.523 6.585
Ga -1.156 -2.394 2.184
Ga 1.521 -1.830 2.630
Ag -3.652 -3.628 1.754
Ga -1.770 -6.777 4.419
Na 0.000 0.000 0.000
Ga -0.137 -4.663 6.110
Ga -4.124 -6.253 2.659
Ga -2.491 -4.140 4.350
Ag -1.962 -3.222 -0.385
Ga -1.432 -5.441 1.388

---

What did the seventh record say?
12
Lattice="-1.869 6.199 -0.853 -2.209 -4.658 -4.009 -8.122 -1.581 6.311" Properties=species:S:1:pos:R:3 comment="Na2AgBi3, optimized geometry, DFT PBE" e_tot_ev_per_atom=-2.817 dos_ef_per_ev_atom=0.439 magmom_total_mub_per_cell=0.0 e_form_kj_per_mol_fu=22 pbc="T T T"
Na -4.061 -0.790 3.155
Bi -5.120 -0.160 -2.312
Na 0.000 0.000 0.000
Bi -9.097 0.883 1.355
Ag -2.248 -1.069 -2.839
Na -6.664 -1.928 0.592
Bi -3.102 -0.923 0.094
Ag -9.951 1.029 4.287
Na -5.536 1.888 0.856
Bi -7.080 0.121 3.760
Bi -4.195 -3.227 -1.890
Bi -8.004 3.188 3.338

---

Repeat the seventh record exactly.
12
Lattice="-1.869 6.199 -0.853 -2.209 -4.658 -4.009 -8.122 -1.581 6.311" Properties=species:S:1:pos:R:3 comment="Na2AgBi3, optimized geometry, DFT PBE" e_tot_ev_per_atom=-2.817 dos_ef_per_ev_atom=0.439 magmom_total_mub_per_cell=0.0 e_form_kj_per_mol_fu=22 pbc="T T T"
Na -4.061 -0.790 3.155
Bi -5.120 -0.160 -2.312
Na 0.000 0.000 0.000
Bi -9.097 0.883 1.355
Ag -2.248 -1.069 -2.839
Na -6.664 -1.928 0.592
Bi -3.102 -0.923 0.094
Ag -9.951 1.029 4.287
Na -5.536 1.888 0.856
Bi -7.080 0.121 3.760
Bi -4.195 -3.227 -1.890
Bi -8.004 3.188 3.338